In2Sb2Pd7Pt | PBE | optimized geometry

abc: 5.4964 5.4501 15.5627
angles: 90.00 98.18 90.00
Closest atoms and distances in Å follow each position.
Space group C2/m (No. 12)
One atom of each set of equivalent atoms:
In1 0.1045 0.0000 0.2595 x4  5 Pd 2.74-2.81
Sb1 0.1550 0.5000 0.3878 x4  5 Pd 2.67-2.93
Pd1 0.0000 0.0000 0.0000 x2  4 Pt 2.73-2.75, 8 Pd 2.83
Pd2 0.1880 0.0000 0.4416 x4  5 Sb 2.67-2.93, 1 In 2.81, 1 Pd 2.94
Pd3 0.1959 0.2499 0.8662 x8  6 Pd 2.72-2.83, 2 In 2.74, 2 Pt 2.83
Pt1 0.0000 0.5000 0.0000 x2  12 Pd 2.73-2.83

Results
**Energy relative to the elements, uncorrected**: -0.1909 eV/atom